Entry 1:
# GGA-PBE CsK2MgRh, optimized geometry
# Calculated density in Mg/m³: 2.56
# Energy of formation from the pure elements in eV per atom: 0.420
# DOS(E_F) in states/eV/f.u.: 1.41
data_CsK2MgRh
_cell_length_a 6.6111
_cell_length_b 6.6111
_cell_length_c 5.0286
_cell_angle_alpha 90.00
_cell_angle_beta 90.00
_cell_angle_gamma 90.00
_space_group_name_H-M_alt 'P 4/m m m'
_space_group_IT_number 123
_space_group_name_Hall '-P 4 2'
loop_
_atom_site_label
_atom_site_fract_x
_atom_site_fract_y
_atom_site_fract_z
_atom_site_occupancy
Cs1 0.0000 0.0000 0.0000 1
K1 0.0000 0.5000 0.5000 1
Mg1 0.5000 0.5000 0.5000 1
Rh1 0.5000 0.5000 0.0000 1

***

Entry 2:
# GGA-PBE Ca3MgTl, optimized geometry
# Calculated density in Mg/m³: 3.54
# Excess energy over the best structure of this formula in the dataset in meV per atom: 58
# Energy of formation from the pure elements in eV per atom: -0.172
# DOS(E_F) in states/eV/f.u.: 3.62
data_Ca3MgTl
_cell_length_a 3.7089
_cell_length_b 7.5257
_cell_length_c 12.2151
_cell_angle_alpha 82.60
_cell_angle_beta 89.91
_cell_angle_gamma 75.79
_space_group_name_H-M_alt 'P -1'
_space_group_IT_number 2
loop_
_space_group_symop_operation_xyz
'x,y,z'
'-x,-y,-z'
loop_
_atom_site_label
_atom_site_fract_x
_atom_site_fract_y
_atom_site_fract_z
_atom_site_occupancy
Ca1 0.1172 0.2609 0.4659 1
Ca2 0.2472 0.0097 0.7473 1
Ca3 0.3742 0.7515 0.0336 1
Mg1 0.0522 0.3927 0.1801 1
Tl1 0.4418 0.6145 0.3175 1

***

Entry 3:
# GGA-PBE Bi3TeRh, optimized geometry
# ΔE_f (raw) in meV per atom: 238
# Calculated density in Mg/m³: 9.29
# Excess energy over the best structure of this formula in the dataset in meV per atom: 408
# DOS(E_F) in states/eV/f.u.: 4.45
data_Bi3TeRh
_cell_length_a 5.3525
_cell_length_b 5.3525
_cell_length_c 5.3525
_cell_angle_alpha 90.00
_cell_angle_beta 90.00
_cell_angle_gamma 90.00
_space_group_name_H-M_alt 'P m -3 m'
_space_group_IT_number 221
_space_group_name_Hall '-P 4 2 3'
loop_
_atom_site_label
_atom_site_fract_x
_atom_site_fract_y
_atom_site_fract_z
_atom_site_occupancy
Bi1 0.0000 0.0000 0.5000 1
Te1 0.5000 0.5000 0.5000 1
Rh1 0.0000 0.0000 0.0000 1

***

Entry 4:
# GGA-PBE CaYTi2, optimized geometry
# Calculated density in Mg/m³: 3.60
# Excess energy over the best structure of this formula in the dataset in meV per atom: 235
# Energy of formation from the pure elements in eV per atom: 0.815
# DOS(E_F) in states/eV/f.u.: 3.99
data_CaYTi2
_cell_length_a 8.1619
_cell_length_b 8.1619
_cell_length_c 6.2182
_cell_angle_alpha 90.00
_cell_angle_beta 90.00
_cell_angle_gamma 90.00
_space_group_name_H-M_alt 'I -4 2 d'
_space_group_IT_number 122
_space_group_name_Hall 'I -4 2bw'
loop_
_atom_site_label
_atom_site_fract_x
_atom_site_fract_y
_atom_site_fract_z
_atom_site_occupancy
Ca1 0.0000 0.0000 0.0000 1
Y1 0.0000 0.0000 0.5000 1
Ti1 0.2493 0.2500 0.1250 1

***

Entry 5:
# GGA-PBE Mn2CdCu, optimized geometry
# Calculated density in Mg/m³: 7.87
# Energy of formation from the pure elements in eV per atom: 0.255
# DOS(E_F) in states/eV/f.u.: 2.02
data_Mn2CdCu
_cell_length_a 3.0300
_cell_length_b 3.0409
_cell_length_c 6.5435
_cell_angle_alpha 90.00
_cell_angle_beta 90.00
_cell_angle_gamma 90.00
_space_group_name_H-M_alt 'P m m 2'
_space_group_IT_number 25
loop_
_space_group_symop_operation_xyz
'x,y,z'
'-x,-y,z'
'-x,y,z'
'x,-y,z'
loop_
_atom_site_label
_atom_site_fract_x
_atom_site_fract_y
_atom_site_fract_z
_atom_site_occupancy
Mn1 0.0000 0.0000 0.0000 1
Mn2 0.5000 0.5000 0.2358 1
Cd1 0.0000 0.0000 0.5202 1
Cu1 0.5000 0.5000 0.7894 1

***

Entry 6:
# GGA-PBE PrBi6Pt, optimized geometry
# Calculated density in Mg/m³: 10.18
# Energy of formation from the pure elements in eV per atom: -0.157
# DOS(E_F) in states/eV/f.u.: 4.24
data_PrBi6Pt
_cell_length_a 8.6977
_cell_length_b 9.3943
_cell_length_c 6.3891
_cell_angle_alpha 90.00
_cell_angle_beta 96.51
_cell_angle_gamma 90.00
_space_group_name_H-M_alt 'C 1 2/m 1'
_space_group_IT_number 12
loop_
_space_group_symop_operation_xyz
'x,y,z'
'-x,-y,-z'
'-x,y,-z'
'x,-y,z'
'x+1/2,y+1/2,z'
'-x+1/2,-y+1/2,-z'
'-x+1/2,y+1/2,-z'
'x+1/2,-y+1/2,z'
loop_
_atom_site_label
_atom_site_fract_x
_atom_site_fract_y
_atom_site_fract_z
_atom_site_occupancy
Pr1 0.0000 0.0000 0.0000 1
Bi1 0.1278 0.3139 0.8137 1
Bi2 0.1863 0.0000 0.5574 1
Pt1 0.0000 0.5000 0.5000 1

***

Entry 7:
# GGA-PBE InAsRhO5, optimized geometry
# ΔE_f (raw) in meV per atom: -937
# Calculated density in Mg/m³: 5.74
# DOS(E_F) in states/eV/f.u.: 0.54
data_InAsRhO5
_cell_length_a 6.4320
_cell_length_b 9.4130
_cell_length_c 7.6781
_cell_angle_alpha 90.00
_cell_angle_beta 111.82
_cell_angle_gamma 90.00
_space_group_name_H-M_alt 'C 1 2/c 1'
_space_group_IT_number 15
loop_
_space_group_symop_operation_xyz
'x,y,z'
'-x,-y,-z'
'-x,y,-z+1/2'
'x,-y,z+1/2'
'x+1/2,y+1/2,z'
'-x+1/2,-y+1/2,-z'
'-x+1/2,y+1/2,-z+1/2'
'x+1/2,-y+1/2,z+1/2'
loop_
_atom_site_label
_atom_site_fract_x
_atom_site_fract_y
_atom_site_fract_z
_atom_site_occupancy
In1 0.0000 0.0000 0.0000 1
As1 0.0000 0.3148 0.2500 1
Rh1 0.0000 0.3020 0.7500 1
O1 0.0000 0.0924 0.7500 1
O2 0.1523 0.2002 0.1579 1
O3 0.1608 0.4187 0.4324 1

***

Entry 8:
# GGA-PBE SrCa2Re, optimized geometry
# Calculated density in Mg/m³: 5.25
# Excess energy over the best structure of this formula in the dataset in meV per atom: 130
# Energy of formation from the pure elements in eV per atom: 0.811
# DOS(E_F) in states/eV/f.u.: 4.94
data_SrCa2Re
_cell_length_a 5.0894
_cell_length_b 5.0894
_cell_length_c 8.6384
_cell_angle_alpha 90.00
_cell_angle_beta 90.00
_cell_angle_gamma 90.00
_space_group_name_H-M_alt 'I 4/m m m'
_space_group_IT_number 139
_space_group_name_Hall '-I 4 2'
loop_
_atom_site_label
_atom_site_fract_x
_atom_site_fract_y
_atom_site_fract_z
_atom_site_occupancy
Sr1 0.0000 0.0000 0.0000 1
Ca1 0.0000 0.5000 0.2500 1
Re1 0.0000 0.0000 0.5000 1